K2TiFe (PBE-GGA, relaxed); energy relative to the lowest polymorph listed for this composition = 0 meV per atom; energy = -3.62 eV/atom; energy of formation = 1.02 eV per atom; Fermi-level density of states = 3.76 states/eV/cell
1.0
-6.3683 6.3683 2.1601
6.3683 -6.3683 2.1601
6.3683 6.3683 -2.1601
K Ti Fe
4 2 2
direct
0.3750 0.2078 0.3328
0.7922 0.1250 0.1672
0.8750 0.0422 0.6672
0.9578 0.6250 0.8328
0.2500 0.7500 0.5000
0.5000 0.5000 0.0000
0.0000 0.0000 0.0000
0.7500 0.2500 0.5000